--- i ---
A relaxed structure of TbEr3Os, computed with GGA-PBE.

```
data_TbEr3Os
_cell_length_a 7.131
_cell_length_b 7.714
_cell_length_c 10.316
_cell_angle_alpha 90.00
_cell_angle_beta 97.69
_cell_angle_gamma 90.00
_symmetry_space_group_name_H-M 'P 1 21/c 1'
_symmetry_Int_Tables_number 14
_symmetry_space_group_name_Hall '-P 2ybc'
loop_
_atom_site_label
_atom_site_type_symbol
_atom_site_fract_x
_atom_site_fract_y
_atom_site_fract_z
_atom_site_occupancy
Tb1 Tb 0.218 0.020 0.242 1
Er1 Er 0.090 0.697 0.029 1
Er2 Er 0.300 0.502 0.353 1
Er3 Er 0.397 0.151 0.572 1
Os1 Os 0.452 0.716 0.166 1
```

Output
**Fermi-level density of states**: 18.91 states/eV per cell
**Size of the total moment**: 0.0 Bohr magnetons per cell

--- ii ---
A relaxed structure of TbEr3Os, computed with GGA-PBE.

```
data_TbEr3Os
_cell_length_a 5.379
_cell_length_b 5.379
_cell_length_c 5.379
_cell_angle_alpha 90.00
_cell_angle_beta 90.00
_cell_angle_gamma 90.00
_symmetry_space_group_name_H-M 'P m -3 m'
_symmetry_Int_Tables_number 221
_symmetry_space_group_name_Hall '-P 4 2 3'
loop_
_atom_site_label
_atom_site_type_symbol
_atom_site_fract_x
_atom_site_fract_y
_atom_site_fract_z
_atom_site_occupancy
Tb1 Tb 0.000 0.000 0.000 1
Er1 Er 0.000 0.500 0.500 1
Os1 Os 0.500 0.500 0.500 1
```

Output
**Fermi-level density of states**: 6.96 states/eV per cell
**Size of the total moment**: 0.0 Bohr magnetons per cell

--- iii ---
A relaxed structure of TbEr3Os, computed with GGA-PBE.

```
data_TbEr3Os
_cell_length_a 17.228
_cell_length_b 3.577
_cell_length_c 9.476
_cell_angle_alpha 90.00
_cell_angle_beta 105.80
_cell_angle_gamma 90.00
_symmetry_space_group_name_H-M 'C 1 2/m 1'
_symmetry_Int_Tables_number 12
_symmetry_space_group_name_Hall '-C 2y'
loop_
_atom_site_label
_atom_site_type_symbol
_atom_site_fract_x
_atom_site_fract_y
_atom_site_fract_z
_atom_site_occupancy
Tb1 Tb 0.193 0.000 0.307 1
Er1 Er 0.001 0.500 0.176 1
Er2 Er 0.098 0.500 0.542 1
Er3 Er 0.185 0.000 0.872 1
Os1 Os 0.137 0.500 0.065 1
```

Output
**Fermi-level density of states**: 24.64 states/eV per cell
**Size of the total moment**: 1.6 Bohr magnetons per cell

Relative energy table, unit eV/atom: i 0.000; ii 0.139; iii 0.145

--- i ---
A relaxed structure of Er4TeOs, computed with GGA-PBE.

```
data_Er4TeOs
_cell_length_a 7.934
_cell_length_b 4.069
_cell_length_c 19.336
_cell_angle_alpha 90.00
_cell_angle_beta 90.00
_cell_angle_gamma 90.00
_symmetry_space_group_name_H-M 'P n m a'
_symmetry_Int_Tables_number 62
_symmetry_space_group_name_Hall '-P 2ac 2n'
loop_
_atom_site_label
_atom_site_type_symbol
_atom_site_fract_x
_atom_site_fract_y
_atom_site_fract_z
_atom_site_occupancy
Er1 Er 0.000 0.250 0.067 1
Er2 Er 0.055 0.250 0.789 1
Er3 Er 0.133 0.250 0.357 1
Er4 Er 0.140 0.250 0.543 1
Te1 Te 0.250 0.250 0.194 1
Os1 Os 0.248 0.750 0.448 1
```

Output
**Fermi-level density of states**: 19.96 states/eV per cell
**Size of the total moment**: 0.0 Bohr magnetons per cell

--- ii ---
A relaxed structure of Er4TeOs, computed with GGA-PBE.

```
data_Er4TeOs
_cell_length_a 18.042
_cell_length_b 5.330
_cell_length_c 9.465
_cell_angle_alpha 90.00
_cell_angle_beta 111.67
_cell_angle_gamma 90.00
_symmetry_space_group_name_H-M 'C 1 2/m 1'
_symmetry_Int_Tables_number 12
_symmetry_space_group_name_Hall '-C 2y'
loop_
_atom_site_label
_atom_site_type_symbol
_atom_site_fract_x
_atom_site_fract_y
_atom_site_fract_z
_atom_site_occupancy
Er1 Er 0.021 0.000 0.245 1
Er2 Er 0.102 0.500 0.032 1
Er3 Er 0.196 0.000 0.902 1
Er4 Er 0.235 0.000 0.301 1
Te1 Te 0.165 0.000 0.559 1
Os1 Os 0.094 0.000 0.050 1
```

Output
**Fermi-level density of states**: 16.87 states/eV per cell
**Size of the total moment**: 0.0 Bohr magnetons per cell

Relative energy table, unit eV/atom: i 0.000; ii 0.310